HoLu2Bi | GGA-PBE | optimized geometry

Properties
- raw total energy (eV for the cell shown) = -18.7
- ΔE_f (eV per formula unit) = -1.184
- relative energy among the computed polymorphs (meV/atom) = 0

Lattice parameters (Å, degrees): 3.9772 3.9772 7.2847 90.00 90.00 90.00
With the nearest neighbours (Å) after each atom.
Space group P4/mmm (No. 123)
Inequivalent atoms, fractional coordinates:
Ho1 0.0000 0.0000 0.0000 x1  8 Lu 3.41, 2 Bi 3.64
Lu1 0.5000 0.5000 0.2650 x2  4 Bi 3.29, 4 Ho 3.41, 1 Lu 3.42
Bi1 0.0000 0.0000 0.5000 x1  8 Lu 3.29, 2 Ho 3.64

HoLuBi | GGA-PBE | optimized geometry

Properties
- raw total energy (eV for the cell shown) = -13.7
- ΔE_f (eV per formula unit) = -0.682
- relative energy among the computed polymorphs (meV/atom) = 190

Lattice parameters (Å, degrees): 5.2176 5.2176 3.7765 90.00 90.00 120.00
With the nearest neighbours (Å) after each atom.
Space group P3m1 (No. 156)
Inequivalent atoms, fractional coordinates:
Ho1 0.0000 0.0000 0.0000 x1  3 Bi 3.21, 3 Lu 3.49
Lu1 0.3333 0.6667 0.4645 x1  3 Bi 3.14, 3 Ho 3.49
Bi1 0.6667 0.3333 0.7035 x1  3 Lu 3.14, 3 Ho 3.21

HoLuBi2 | GGA-PBE | optimized geometry

Properties
- raw total energy (eV for the cell shown) = -60.0
- ΔE_f (eV per formula unit) = -3.125

Lattice parameters (Å, degrees): 4.4331 4.4331 21.7056 90.00 90.00 120.00
With the nearest neighbours (Å) after each atom.
Space group R-3m (No. 166, hexagonal axes)
Inequivalent atoms, fractional coordinates:
Ho1 0.0000 0.0000 0.0000 x3  6 Bi 3.15
Lu1 0.0000 0.0000 0.5000 x3  6 Bi 3.12
Bi1 0.0000 0.0000 0.2487 x6  3 Lu 3.12, 3 Ho 3.15

HoLu2Bi | GGA-PBE | optimized geometry

Properties
- raw total energy (eV for the cell shown) = -18.6
- ΔE_f (eV per formula unit) = -1.088
- relative energy among the computed polymorphs (meV/atom) = 24

Lattice parameters (Å, degrees): 4.7992 4.7992 4.8487 90.00 90.00 90.00
With the nearest neighbours (Å) after each atom.
Space group P4/mmm (No. 123)
Inequivalent atoms, fractional coordinates:
Ho1 0.0000 0.0000 0.0000 x1  4 Bi 3.39, 8 Lu 3.41
Lu1 0.0000 0.5000 0.5000 x2  4 Lu 3.39, 4 Ho 3.41, 4 Bi 3.41
Bi1 0.5000 0.5000 0.0000 x1  4 Ho 3.39, 8 Lu 3.41